No. 1
! Os2Pd2Rh, optimized geometry, DFT PBE; values from VASP
! V = 154.7 Å³/cell
! theoretical density = 14.94 g cm⁻³
! energy of formation from the pure elements = 740 meV/atom
! space group = P4/mbm
&SYSTEM
  ibrav = 0, nat = 10, ntyp = 3
/
ATOMIC_SPECIES
Os 190.23 Os.upf
Pd 106.42 Pd.upf
Rh 102.91 Rh.upf
CELL_PARAMETERS angstrom
-6.264 1.704 3.776
2.412 -4.065 5.836
1.230 2.221 1.038
ATOMIC_POSITIONS crystal
Os 0.176 0.676 0.500
Pd 0.622 0.122 0.000
Os 0.324 0.176 0.500
Pd 0.878 0.622 0.000
Os 0.824 0.324 0.500
Rh 0.000 0.000 0.000
Pd 0.378 0.878 0.000
Pd 0.122 0.378 0.000
Rh 0.500 0.500 0.000
Os 0.676 0.824 0.500

***

No. 2
! Os2Pd2Rh, optimized geometry, DFT PBE; values from VASP
! V = 82.6 Å³/cell
! theoretical density = 13.99 g cm⁻³
! energy of formation from the pure elements = 819 meV/atom
! space group = I4/mmm
&SYSTEM
  ibrav = 0, nat = 5, ntyp = 3
/
ATOMIC_SPECIES
Rh 102.91 Rh.upf
Os 190.23 Os.upf
Pd 106.42 Pd.upf
CELL_PARAMETERS angstrom
3.544 0.000 0.000
0.000 3.544 0.000
1.772 1.772 6.579
ATOMIC_POSITIONS crystal
Rh 0.000 0.000 0.000
Os 0.750 0.250 0.500
Pd 0.599 0.599 0.802
Os 0.250 0.750 0.500
Pd 0.401 0.401 0.198